Density functional theory data (GGA-PBE) for a geometry-optimized Pr12AlHg6 structure.

The structure in extended XYZ format:
```
19
Lattice="9.055 -1.124 -1.347 -2.484 8.780 -1.347 -2.484 -2.894 8.398" Properties=species:S:1:pos:R:3 pbc="T T T"
Pr 4.352 3.396 2.465
Pr 1.137 4.577 3.782
Pr 2.697 1.564 5.180
Pr -0.265 1.365 3.240
Pr 2.950 0.184 1.922
Pr 1.390 3.197 0.525
Pr 5.497 5.503 -0.110
Pr -0.519 5.990 -0.442
Pr 5.999 -0.506 0.310
Pr -1.410 -0.741 5.814
Pr 4.606 -1.228 6.147
Pr -1.912 5.268 5.394
Al 0.000 0.000 0.000
Hg 2.481 6.266 1.370
Hg 4.238 2.275 -0.706
Hg -1.730 4.022 2.112
Hg 1.606 -1.504 4.335
Hg -0.151 2.487 6.410
Hg 5.817 0.740 3.592
```

Values from the calculation:
Electronic total energy: -3.54 eV per atom
E_form: -0.2288 eV per atom
Space-group type: No. 148